Run w
NiPtS2Cl: relaxed, PBE.

Symmetry: No. 123
N(E_F) (states/eV/atom): 1.78
Crystal system: tetragonal

Cell lengths 4.711, 4.711, 4.851 Å; angles 90.00, 90.00, 90.00 degrees
Positions (direct):
1 Ni 0.500 0.500 0.500
2 S 0.000 0.500 0.000
3 S 0.500 0.000 0.000
4 Pt 0.000 0.000 0.000
5 Cl 0.000 0.000 0.500

***

Run x
NiPtS2Cl: relaxed, PBE.

Symmetry: No. 123
N(E_F) (states/eV/atom): 1.30
Crystal system: tetragonal

Cell lengths 4.511, 4.511, 4.328 Å; angles 90.00, 90.00, 90.00 degrees
Positions (direct):
1 Ni 0.000 0.000 0.000
2 S 0.000 0.500 0.000
3 S 0.500 0.000 0.000
4 Pt 0.500 0.500 0.500
5 Cl 0.000 0.000 0.500

***

We find run x to be the most stable, with the next structure 86 meV/atom higher.

***

Run w
RbNiCl: relaxed, PBE.

Symmetry: No. 194
N(E_F) (states/eV/atom): 0.65
Crystal system: hexagonal

Cell lengths 5.642, 5.642, 8.315 Å; angles 90.00, 90.00, 120.00 degrees
Positions (direct):
1 Ni 0.000 0.000 0.000
2 Ni 0.000 0.000 0.500
3 Rb 0.333 0.667 0.250
4 Rb 0.667 0.333 0.750
5 Cl 0.000 0.000 0.250
6 Cl 0.000 0.000 0.750

***

Run x
RbNiCl: relaxed, PBE.

Symmetry: No. 8
N(E_F) (states/eV/atom): 0.00
Crystal system: monoclinic

Cell lengths 15.417, 6.698, 6.698 Å; angles 142.88, 148.05, 31.95 degrees
Positions (direct):
1 Ni 0.260 0.817 0.183
2 Ni 0.420 0.080 0.920
3 Rb 0.326 0.444 0.556
4 Rb 0.907 0.609 0.391
5 Cl 0.531 0.447 0.553
6 Cl 0.001 0.197 0.803

***

We find run x to be the most stable, with the next structure 136 meV/atom higher.

***

Run w
RbNiCl: relaxed, PBE.

Symmetry: No. 8
N(E_F) (states/eV/atom): 0.72
Crystal system: monoclinic

Cell lengths 3.705, 3.706, 11.147 Å; angles 99.19, 80.81, 87.48 degrees
Positions (direct):
1 Ni 0.153 0.392 0.528
2 Ni 0.723 0.963 0.528
3 Rb 0.760 0.355 0.879
4 Rb 0.570 0.546 0.257
5 Cl 0.165 0.951 0.068
6 Cl 0.352 0.763 0.696

***

Run x
RbNiCl: relaxed, PBE.

Symmetry: No. 12
N(E_F) (states/eV/atom): 0.82
Crystal system: monoclinic

Cell lengths 17.655, 8.977, 8.977 Å; angles 146.85, 158.95, 21.05 degrees
Positions (direct):
1 Ni 0.749 0.718 0.282
2 Ni 0.251 0.282 0.718
3 Rb 0.755 0.380 0.620
4 Rb 0.245 0.620 0.380
5 Cl 0.255 0.412 0.588
6 Cl 0.745 0.588 0.412

***

We find run x to be the most stable, with the next structure 18 meV/atom higher.

***

Run w
RbNiCl2: relaxed, PBE.

Symmetry: No. 225
N(E_F) (states/eV/atom): 4.03
Crystal system: cubic

Cell lengths 5.136, 5.136, 5.136 Å; angles 60.00, 60.00, 60.00 degrees
Positions (direct):
1 Ni 0.000 0.000 0.000
2 Rb 0.500 0.500 0.500
3 Cl 0.250 0.250 0.250
4 Cl 0.750 0.750 0.750

***

Run x
RbNiCl2: relaxed, PBE.

Symmetry: No. 122
N(E_F) (states/eV/atom): 0.40
Crystal system: tetragonal

Cell lengths 7.396, 7.396, 6.417 Å; angles 54.81, 54.81, 90.00 degrees
Positions (direct):
1 Ni 0.500 0.500 0.000
2 Ni 0.250 0.750 0.500
3 Rb 0.000 0.000 0.000
4 Rb 0.750 0.250 0.500
5 Cl 0.514 0.125 0.250
6 Cl 0.236 0.625 0.250
7 Cl 0.375 0.486 0.750
8 Cl 0.875 0.764 0.750

***

Run y
RbNiCl2: relaxed, PBE.

Symmetry: No. 166
N(E_F) (states/eV/atom): 1.22
Crystal system: trigonal

Cell lengths 3.885, 3.885, 8.852 Å; angles 77.32, 77.32, 60.00 degrees
Positions (direct):
1 Ni 0.500 0.500 0.500
2 Rb 0.000 0.000 0.000
3 Cl 0.119 0.119 0.642
4 Cl 0.881 0.881 0.358

***

We find run x to be the most stable, with the next structure 432 meV/atom higher.

***

Run w
RbNiS2Cl: relaxed, PBE.

Symmetry: No. 123
N(E_F) (states/eV/atom): 2.68
Crystal system: tetragonal

Cell lengths 5.952, 5.952, 5.878 Å; angles 90.00, 90.00, 90.00 degrees
Positions (direct):
1 Ni 0.500 0.500 0.500
2 S 0.000 0.500 0.000
3 S 0.500 0.000 0.000
4 Rb 0.000 0.000 0.000
5 Cl 0.000 0.000 0.500

***

Run x
RbNiS2Cl: relaxed, PBE.

Symmetry: No. 123
N(E_F) (states/eV/atom): 0.57
Crystal system: tetragonal

Cell lengths 4.416, 4.416, 6.287 Å; angles 90.00, 90.00, 90.00 degrees
Positions (direct):
1 Ni 0.000 0.000 0.000
2 S 0.000 0.500 0.000
3 S 0.500 0.000 0.000
4 Rb 0.500 0.500 0.500
5 Cl 0.000 0.000 0.500

***

We find run x to be the most stable, with the next structure 1699 meV/atom higher.

***

Run w
RbNiSCl2: relaxed, PBE.

Symmetry: No. 123
N(E_F) (states/eV/atom): 3.13
Crystal system: tetragonal

Cell lengths 6.008, 6.008, 5.921 Å; angles 90.00, 90.00, 90.00 degrees
Positions (direct):
1 Ni 0.500 0.500 0.500
2 S 0.000 0.000 0.500
3 Rb 0.000 0.000 0.000
4 Cl 0.000 0.500 0.000
5 Cl 0.500 0.000 0.000

***

Run x
RbNiSCl2: relaxed, PBE.

Symmetry: No. 123
N(E_F) (states/eV/atom): 0.46
Crystal system: tetragonal

Cell lengths 5.155, 5.155, 4.357 Å; angles 90.00, 90.00, 90.00 degrees
Positions (direct):
1 Ni 0.000 0.000 0.000
2 S 0.000 0.000 0.500
3 Rb 0.500 0.500 0.500
4 Cl 0.000 0.500 0.000
5 Cl 0.500 0.000 0.000

***

We find run x to be the most stable, with the next structure 1512 meV/atom higher.

***

Run w
ReNi2Cl: relaxed, PBE.

Symmetry: No. 119
N(E_F) (states/eV/atom): 0.84
Crystal system: tetragonal

Cell lengths 4.175, 4.175, 4.175 Å; angles 119.94, 119.94, 90.10 degrees
Positions (direct):
1 Cl 0.750 0.250 0.500
2 Ni 0.000 0.000 0.000
3 Ni 0.250 0.750 0.500
4 Re 0.500 0.500 0.000

***

Run x
ReNi2Cl: relaxed, PBE.

Symmetry: No. 99
N(E_F) (states/eV/atom): 0.53
Crystal system: tetragonal

Cell lengths 2.938, 2.938, 6.345 Å; angles 90.00, 90.00, 90.00 degrees
Positions (direct):
1 Cl 0.500 0.500 0.754
2 Ni 0.000 0.000 0.042
3 Ni 0.500 0.500 0.247
4 Re 0.000 0.000 0.456

***

We find run x to be the most stable, with the next structure 344 meV/atom higher.

***

Run w
ReNi2Cl: relaxed, PBE.

Symmetry: No. 139
N(E_F) (states/eV/atom): 1.54
Crystal system: tetragonal

Cell lengths 4.603, 4.603, 4.603 Å; angles 131.42, 131.42, 71.14 degrees
Positions (direct):
1 Cl 0.750 0.250 0.500
2 Ni 0.000 0.000 0.000
3 Ni 0.500 0.500 0.000
4 Re 0.250 0.750 0.500

***

Run x
ReNi2Cl: relaxed, PBE.

Symmetry: No. 160
N(E_F) (states/eV/atom): 1.46
Crystal system: trigonal

Cell lengths 7.999, 7.999, 7.999 Å; angles 20.26, 20.26, 20.26 degrees
Positions (direct):
1 Cl 0.747 0.747 0.747
2 Ni 0.000 0.000 0.000
3 Ni 0.251 0.251 0.251
4 Re 0.502 0.502 0.502

***

Run y
ReNi2Cl: relaxed, PBE.

Symmetry: No. 35
N(E_F) (states/eV/atom): 1.57
Crystal system: orthorhombic

Cell lengths 2.765, 2.765, 8.256 Å; angles 90.00, 90.00, 118.72 degrees
Positions (direct):
1 Cl 0.500 0.500 0.770
2 Ni 0.000 0.000 0.000
3 Ni 0.500 0.500 0.243
4 Re 0.000 0.000 0.487

***

Run z
ReNi2Cl: relaxed, PBE.

Symmetry: No. 225
N(E_F) (states/eV/atom): 1.24
Crystal system: cubic

Cell lengths 4.278, 4.278, 4.278 Å; angles 60.00, 60.00, 60.00 degrees
Positions (direct):
1 Re 0.500 0.500 0.500
2 Cl 0.000 0.000 0.000
3 Ni 0.250 0.250 0.250
4 Ni 0.750 0.750 0.750

***

We find run x to be the most stable, with the next structure 164 meV/atom higher.

***

Run w
ReNi2Cl: relaxed, PBE.

Symmetry: No. 47
N(E_F) (states/eV/atom): 0.91
Crystal system: orthorhombic

Cell lengths 2.759, 2.746, 7.394 Å; angles 90.05, 90.00, 90.00 degrees
Positions (direct):
1 Cl 0.500 0.750 0.750
2 Ni 0.000 0.749 0.017
3 Ni 0.000 0.751 0.483
4 Re 0.500 0.250 0.250

***

Run x
ReNi2Cl: relaxed, PBE.

Symmetry: No. 65
N(E_F) (states/eV/atom): 1.63
Crystal system: orthorhombic

Cell lengths 4.686, 4.686, 2.696 Å; angles 89.97, 89.97, 116.00 degrees
Positions (direct):
1 Cl 0.000 0.500 0.500
2 Ni 0.000 0.000 0.000
3 Ni 0.500 0.500 0.000
4 Re 0.500 0.000 0.500

***

We find run w to be the most stable, with the next structure 528 meV/atom higher.

***

Run w
ReNi2Cl: relaxed, PBE.

Symmetry: No. 123
N(E_F) (states/eV/atom): 0.91
Crystal system: tetragonal

Cell lengths 2.764, 2.764, 7.125 Å; angles 90.00, 90.00, 89.93 degrees
Positions (direct):
1 Cl 0.500 0.500 0.750
2 Ni 0.000 0.000 0.008
3 Ni 0.000 0.000 0.492
4 Re 0.500 0.500 0.250

***

Run x
ReNi2Cl: relaxed, PBE.

Symmetry: No. 8
N(E_F) (states/eV/atom): 0.85
Crystal system: monoclinic

Cell lengths 4.239, 4.239, 6.252 Å; angles 85.97, 85.97, 38.25 degrees
Positions (direct):
1 Cl 0.089 0.089 0.267
2 Ni 0.073 0.073 0.912
3 Ni 0.802 0.802 0.733
4 Re 0.536 0.536 0.588

***

We find run w to be the most stable, with the next structure 105 meV/atom higher.

***

Run w
Re2NiCl: relaxed, PBE.

Symmetry: No. 8
N(E_F) (states/eV/atom): 0.84
Crystal system: monoclinic

Cell lengths 4.659, 4.659, 4.682 Å; angles 92.01, 92.01, 35.08 degrees
Positions (direct):
1 Cl 0.504 0.504 0.430
2 Ni 0.272 0.272 0.267
3 Re 0.999 0.999 0.019
4 Re 0.725 0.725 0.783

***

Run x
Re2NiCl: relaxed, PBE.

Symmetry: No. 166
N(E_F) (states/eV/atom): 1.24
Crystal system: trigonal

Cell lengths 8.459, 8.459, 8.459 Å; angles 19.11, 19.11, 19.11 degrees
Positions (direct):
1 Cl 0.250 0.250 0.250
2 Ni 0.750 0.750 0.750
3 Re 0.002 0.002 0.002
4 Re 0.498 0.498 0.498

***

Run y
Re2NiCl: relaxed, PBE.

Symmetry: No. 99
N(E_F) (states/eV/atom): 0.98
Crystal system: tetragonal

Cell lengths 2.843, 2.843, 8.034 Å; angles 90.00, 90.00, 90.00 degrees
Positions (direct):
1 Cl 0.000 0.000 0.452
2 Ni 0.500 0.500 0.803
3 Re 0.000 0.000 0.015
4 Re 0.500 0.500 0.231

***

We find run y to be the most stable, with the next structure 218 meV/atom higher.

***

Run w
ReNiCl: relaxed, PBE.

Symmetry: No. 42
N(E_F) (states/eV/atom): 0.63
Crystal system: orthorhombic

Cell lengths 6.699, 6.376, 2.870 Å; angles 83.71, 71.08, 25.20 degrees
Positions (direct):
1 Cl 0.994 0.994 0.006
2 Ni 0.333 0.333 0.667
3 Re 0.673 0.673 0.327

***

Run x
ReNiCl: relaxed, PBE.

Symmetry: No. 107
N(E_F) (states/eV/atom): 0.47
Crystal system: tetragonal

Cell lengths 6.780, 6.780, 6.780 Å; angles 155.74, 155.74, 34.58 degrees
Positions (direct):
1 Cl 0.039 0.039 0.000
2 Ni 0.286 0.286 0.000
3 Re 0.675 0.675 0.000

***

Run y
ReNiCl: relaxed, PBE.

Symmetry: No. 216
N(E_F) (states/eV/atom): 1.54
Crystal system: cubic

Cell lengths 4.188, 4.188, 4.188 Å; angles 60.00, 60.00, 60.00 degrees
Positions (direct):
1 Cl 0.500 0.500 0.500
2 Ni 0.750 0.750 0.750
3 Re 0.000 0.000 0.000

***

We find run x to be the most stable, with the next structure 45 meV/atom higher.